A plane-wave DFT calculation with PBEsol was carried out for SnP2O7 after structural relaxation.

Unit cell a=8.2920 b=8.2920 c=8.2920 alpha=90.00 beta=90.00 gamma=90.00
Space group Pa-3 (No. 205)
Unique sites:
Sn (0.0000, 0.0000, 0.0000) x4
P (0.1103, 0.6103, 0.8897) x8
O (0.0000, 0.0000, 0.5000) x4
O (0.0522, 0.7177, 0.4058) x24

Results
Total magnetic moment (μB/cell): 0.0
E above lowest polymorph (meV per atom): 46

***

A plane-wave DFT calculation with PBEsol was carried out for TiH12N4F8 after structural relaxation.

Unit cell a=5.4400 b=13.5546 c=10.8577 alpha=90.00 beta=90.00 gamma=90.00
Space group Pccn (No. 56)
Unique sites:
Ti (0.2500, 0.2500, 0.1252) x4
H (0.0035, 0.5569, 0.1433) x8
H (0.0114, 0.0595, 0.8926) x8
H (0.1029, 0.6692, 0.5539) x8
H (0.1133, 0.6680, 0.1976) x8
H (0.2174, 0.5594, 0.4980) x8
H (0.2290, 0.5593, 0.2546) x8
N (0.1512, 0.5962, 0.5787) x8
N (0.1655, 0.5955, 0.1735) x8
F (0.0092, 0.2300, 0.7478) x8
F (0.0096, 0.2292, 0.5022) x8
F (0.1748, 0.1160, 0.1256) x8
F (0.2301, 0.0000, 0.3783) x8

Results
Total magnetic moment (μB/cell): 0.0
VASP energy (eV per atom): -5.342

***

A plane-wave DFT calculation with PBEsol was carried out for Lu6WO12 after structural relaxation.

Unit cell a=9.4891 b=9.4891 c=9.0233 alpha=90.00 beta=90.00 gamma=120.00
Space group R-3 (No. 148, hexagonal axes)
Unique sites:
Lu (0.0391, 0.2537, 0.1415) x18
W (0.0000, 0.0000, 0.5000) x3
O (0.0304, 0.2208, 0.8982) x18
O (0.0344, 0.1863, 0.3842) x18

Results
Total magnetic moment (μB/cell): 0.0
VASP energy (eV per atom): -9.067